Here is a relaxed structure of AlCoRe2O from the Alexandria database. Energies are from PBE with a Hubbard U.

Computed properties:
Final energy ... -36.8 eV per cell
Symmetry ... P4/mmm

Unit cell a=4.159 b=3.751 c=4.159 alpha=90.00 beta=90.00 gamma=90.00
Fractional coordinates of all 5 atoms:
Co 0.500 0.500 0.500
O 0.000 0.000 0.000
Re 0.000 0.000 0.500
Re 0.500 0.000 0.000
Al 0.000 0.500 0.000